1.
Compound: Cr2FeTcBi
Source: the Alexandria database
Functional: GGA-PBE
Structure: relaxed

Cell: 4.495 4.477 4.495 Å, 90.00 90.00 90.00°
Site moments in Bohr magnetons follow the coordinates.
Fractional positions:
Fe: 0.000 0.000 0.000  -0.97
Cr: 0.000 0.000 0.500  2.74
Cr: 0.500 0.000 0.000  2.92
Tc: 0.000 0.500 0.000  -0.49
Bi: 0.500 0.500 0.500  -0.15

Values from the calculation:
- final energy (eV/atom) = -7.47
- space-group type = P4/mmm


2.
Compound: VCr2FeBi
Source: the Alexandria database
Functional: GGA-PBE
Structure: relaxed

Cell: 4.357 4.910 4.357 Å, 90.00 90.00 90.00°
Site moments in Bohr magnetons follow the coordinates.
Fractional positions:
Bi: 0.000 0.500 0.000  -0.06
Cr: 0.000 0.000 0.500  2.44
Cr: 0.500 0.000 0.000  2.96
V: 0.500 0.500 0.500  0.64
Fe: 0.000 0.000 0.000  -0.74

Values from the calculation:
- space-group type = P4/mmm
- energy above the lowest structure with this stoichiometry (eV/atom) = 0.000


3.
Compound: VCr2FeBi
Source: the Alexandria database
Functional: GGA-PBE
Structure: relaxed

Cell: 4.740 4.572 4.740 Å, 90.00 90.00 90.00°
Fractional positions:
V: 0.500 0.500 0.500
Cr: 0.000 0.000 0.500
Bi: 0.000 0.000 0.000
Cr: 0.500 0.000 0.000
Fe: 0.000 0.500 0.000

Values from the calculation:
- space-group type = P4/mmm
- energy above the lowest structure with this stoichiometry (eV/atom) = 1.188


4.
Compound: Cr3GaBi
Source: the Alexandria database
Functional: GGA-PBE
Structure: relaxed

Cell: 4.739 4.739 4.739 Å, 90.00 90.00 90.00°
Site moments in Bohr magnetons follow the coordinates.
Fractional positions:
Cr: 0.500 0.000 0.000  2.97
Cr: 0.000 0.000 0.500  3.66
Cr: 0.000 0.500 0.000  3.29
Bi: 0.500 0.500 0.500  -0.35
Ga: 0.000 0.000 0.000  -0.15

Values from the calculation:
- space-group type = Pm-3m
- energy above the lowest structure with this stoichiometry (eV/atom) = 0.000